No. 1
Computed, not measured: a geometry-optimized Rb2HfTe4 structure at the PBE level of DFT.

* V: 41.6 Å³/atom
* E_form (uncorrected): -5.0 eV/f.u.
* excess energy over the best structure of this formula in the dataset: 0.0 meV per atom

Unit cell a=8.3807 b=4.2283 c=8.7339 alpha=90.00 beta=109.88 gamma=90.00
Last column: nearest neighbours and their distance in Å.
Atoms (fractional coordinates):
Rb  0.1985  0.0000  0.3134  4 Te 3.50-3.69
Rb  0.8015  0.0000  0.6866  4 Te 3.50-3.69
Hf  0.5000  0.5000  0.0000  6 Te 2.90-2.93
Te  0.1305  0.5000  0.9164  1 Hf 2.93, 1 Te 3.01
Te  0.4146  0.0000  0.7583  2 Hf 2.90
Te  0.5854  0.0000  0.2417  2 Hf 2.90
Te  0.8695  0.5000  0.0836  1 Hf 2.93, 1 Te 3.01

No. 2
Computed, not measured: a geometry-optimized Tm12ZnFe6 structure at the PBE level of DFT.

* V: 22.5 Å³/atom
* energy of formation from the pure elements: -0.06 eV/atom

Unit cell a=8.2220 b=8.2220 c=8.2220 alpha=109.47 beta=109.47 gamma=109.47
Last column: nearest neighbours and their distance in Å.
Atoms (fractional coordinates):
Tm  0.1019  0.8058  0.2961  3 Fe 2.67-2.88
Tm  0.1942  0.2961  0.4904  3 Fe 2.67-2.88
Tm  0.1942  0.7039  0.8981  3 Fe 2.67-2.88
Tm  0.2961  0.1019  0.8058  3 Fe 2.67-2.88
Tm  0.2961  0.4904  0.1942  3 Fe 2.67-2.88
Tm  0.4904  0.1942  0.2961  3 Fe 2.67-2.88
Tm  0.5096  0.8058  0.7039  3 Fe 2.67-2.88
Tm  0.7039  0.5096  0.8058  3 Fe 2.67-2.88
Tm  0.7039  0.8981  0.1942  3 Fe 2.67-2.88
Tm  0.8058  0.2961  0.1019  3 Fe 2.67-2.88
Tm  0.8058  0.7039  0.5096  3 Fe 2.67-2.88
Tm  0.8981  0.1942  0.7039  3 Fe 2.67-2.88
Zn  0.0000  0.0000  0.0000  12 Tm 3.36
Fe  0.1118  0.6118  0.5000  1 Fe 2.12
Fe  0.3882  0.5000  0.8882  1 Fe 2.12
Fe  0.5000  0.1118  0.6118  1 Fe 2.12
Fe  0.5000  0.8882  0.3882  1 Fe 2.12
Fe  0.6118  0.5000  0.1118  1 Fe 2.12
Fe  0.8882  0.3882  0.5000  1 Fe 2.12

Number 1 is which compound?
Rb2HfTe4

What is the V in the first record?
41.6 Å³/atom

The highest V belongs to which entry?
Rb2HfTe4